# 1
The following is a DFT calculation (PBE) of a relaxed Pu2AlZn3 crystal.

Unit cell a=5.515 b=5.515 c=8.737 alpha=90.00 beta=90.00 gamma=120.00
Atoms (fractional coordinates):
Pu 0.333 0.667 0.061
Pu 0.333 0.667 0.439
Pu 0.667 0.333 0.561
Pu 0.667 0.333 0.939
Al 0.000 0.000 0.000
Al 0.000 0.000 0.500
Zn 0.170 0.340 0.750
Zn 0.170 0.830 0.750
Zn 0.340 0.170 0.250
Zn 0.660 0.830 0.750
Zn 0.830 0.170 0.250
Zn 0.830 0.660 0.250

Its relative energy among the computed polymorphs is 0.08 kcal/mol of atoms. As for the density of states at the Fermi level: 1.53 states/eV per atom. As for the space group: P6_3/mmc (194).



# 2
The following is a DFT calculation (PBE) of a relaxed PuAl2Zn crystal.

Unit cell a=6.539 b=4.580 c=10.373 alpha=90.00 beta=90.00 gamma=90.00
Atoms (fractional coordinates):
Pu 0.247 0.250 0.154
Pu 0.253 0.750 0.654
Pu 0.747 0.250 0.346
Pu 0.753 0.750 0.846
Al 0.060 0.250 0.862
Al 0.246 0.750 0.949
Al 0.254 0.250 0.449
Al 0.440 0.750 0.362
Al 0.560 0.250 0.638
Al 0.746 0.750 0.551
Al 0.754 0.250 0.051
Al 0.940 0.750 0.138
Zn 0.049 0.750 0.376
Zn 0.451 0.250 0.876
Zn 0.549 0.750 0.124
Zn 0.951 0.250 0.624

As for the density of states at the Fermi level: 1.91 states/eV per atom. As for the space group: Pnma (62).



# 3
The following is a DFT calculation (PBE) of a relaxed Pu3Al8Zn3 crystal.

Unit cell a=8.171 b=8.171 c=8.171 alpha=148.66 beta=106.14 gamma=82.41
Atoms (fractional coordinates):
Pu 0.000 0.000 0.000
Pu 0.291 0.291 0.000
Pu 0.709 0.709 0.000
Al 0.013 0.649 0.365
Al 0.146 0.861 0.285
Al 0.284 0.649 0.635
Al 0.423 0.139 0.285
Al 0.577 0.861 0.715
Al 0.716 0.351 0.365
Al 0.854 0.139 0.715
Al 0.987 0.351 0.635
Zn 0.324 0.500 0.824
Zn 0.500 0.000 0.500
Zn 0.676 0.500 0.176

As for the density of states at the Fermi level: 1.90 states/eV per atom. As for the space group: Immm (71).



# 4
The following is a DFT calculation (PBE) of a relaxed Pu3Al2Zn4 crystal.

Unit cell a=4.733 b=4.733 c=17.829 alpha=90.00 beta=90.00 gamma=120.00
Atoms (fractional coordinates):
Pu 0.000 0.000 0.000
Pu 0.000 0.000 0.163
Pu 0.000 0.000 0.331
Pu 0.000 0.000 0.496
Pu 0.000 0.000 0.664
Pu 0.000 0.000 0.827
Al 0.333 0.667 0.914
Al 0.667 0.333 0.248
Al 0.667 0.333 0.579
Al 0.667 0.333 0.914
Zn 0.333 0.667 0.080
Zn 0.333 0.667 0.247
Zn 0.333 0.667 0.413
Zn 0.333 0.667 0.580
Zn 0.333 0.667 0.748
Zn 0.667 0.333 0.081
Zn 0.667 0.333 0.413
Zn 0.667 0.333 0.746

As for the density of states at the Fermi level: 1.76 states/eV per atom. As for the space group: P3m1 (156).



# 5
The following is a DFT calculation (PBE) of a relaxed PuAl4Zn crystal.

Unit cell a=5.449 b=5.449 c=5.449 alpha=60.00 beta=60.00 gamma=60.00
Atoms (fractional coordinates):
Pu 0.000 0.000 0.000
Al 0.123 0.626 0.626
Al 0.626 0.123 0.626
Al 0.626 0.626 0.123
Al 0.626 0.626 0.626
Zn 0.250 0.250 0.250

As for the density of states at the Fermi level: 2.06 states/eV per atom. As for the space group: F-43m (216).



# 6
The following is a DFT calculation (PBE) of a relaxed PuAl2Zn crystal.

Unit cell a=3.219 b=3.219 c=7.349 alpha=90.00 beta=90.00 gamma=90.00
Atoms (fractional coordinates):
Pu 0.000 0.000 0.000
Al 0.500 0.500 0.296
Al 0.500 0.500 0.704
Zn 0.000 0.000 0.500

As for the density of states at the Fermi level: 1.55 states/eV per atom. As for the space group: P4/mmm (123).



# 7
The following is a DFT calculation (PBE) of a relaxed PuAl2Zn crystal.

Unit cell a=2.899 b=2.899 c=31.062 alpha=90.00 beta=90.00 gamma=120.00
Atoms (fractional coordinates):
Pu 0.000 0.000 0.000
Pu 0.333 0.667 0.667
Pu 0.667 0.333 0.333
Al 0.000 0.000 0.096
Al 0.000 0.000 0.904
Al 0.333 0.667 0.571
Al 0.333 0.667 0.763
Al 0.667 0.333 0.237
Al 0.667 0.333 0.429
Zn 0.000 0.000 0.500
Zn 0.333 0.667 0.167
Zn 0.667 0.333 0.833

As for the density of states at the Fermi level: 1.33 states/eV per atom. As for the space group: R-3m (166).



# 8
The following is a DFT calculation (PBE) of a relaxed PuAl2Zn5 crystal.

Unit cell a=4.011 b=7.104 c=10.035 alpha=90.00 beta=90.00 gamma=90.00
Atoms (fractional coordinates):
Pu 0.000 0.000 0.000
Pu 0.500 0.500 0.500
Al 0.000 0.500 0.252
Al 0.000 0.500 0.748
Al 0.500 0.000 0.248
Al 0.500 0.000 0.752
Zn 0.000 0.186 0.368
Zn 0.000 0.186 0.632
Zn 0.000 0.500 0.000
Zn 0.000 0.814 0.368
Zn 0.000 0.814 0.632
Zn 0.500 0.000 0.500
Zn 0.500 0.314 0.132
Zn 0.500 0.314 0.868
Zn 0.500 0.686 0.132
Zn 0.500 0.686 0.868

As for the density of states at the Fermi level: 1.65 states/eV per atom. As for the space group: Immm (71).



Total moment (computed, μB/f.u.): 11.4 5.9 17.6 16.0 6.4 5.8 5.0 5.6
Final energy (computed, eV/f.u.): -37.5 -24.0 -79.8 -58.0 -30.8 -23.5 -22.2 -28.9
Formation enthalpy at 0 K (computed, meV per atom): -215 -215 -215 -272 -44 -108 219 -89